Compound: Pr5Dy6Sc
Source: the Alexandria database
Functional: PBE
Structure: optimized geometry Values from VASP.

Output
Space group: Immm
DOS(E_F) (states/eV/f.u.): 17.22
E (eV/atom): -4.79
Calculated formation energy (eV/atom): 0.03
Theoretical density (g/cm³): 7.273

Quantum ESPRESSO input file:
```
&SYSTEM
  ibrav = 0, nat = 12, ntyp = 3
/
ATOMIC_SPECIES
Pr 140.91 Pr.upf
Sc 44.96 Sc.upf
Dy 162.50 Dy.upf
CELL_PARAMETERS angstrom
-3.755 3.250 1.091
-0.812 -1.794 -9.311
-2.196 -8.054 4.570
ATOMIC_POSITIONS crystal
Pr 0.500 0.163 0.837
Pr 0.000 0.334 0.666
Pr 0.500 0.500 0.500
Pr 0.000 0.666 0.334
Pr 0.500 0.837 0.163
Sc 0.000 0.000 0.000
Dy 0.247 0.082 0.412
Dy 0.753 0.588 0.918
Dy 0.745 0.245 0.245
Dy 0.255 0.755 0.755
Dy 0.247 0.412 0.082
Dy 0.753 0.918 0.588
```

***

Compound: KReAs2
Source: the Alexandria database
Functional: PBE
Structure: optimized geometry Values from VASP.

Output
Space group: Cm
ΔE to the lowest computed polymorph (meV per atom): 116
DOS(E_F) (states/eV/f.u.): 1.72
E (eV/atom): -5.69
Calculated formation energy (eV/atom): 0.02
Theoretical density (g/cm³): 6.276

Quantum ESPRESSO input file:
```
&SYSTEM
  ibrav = 0, nat = 4, ntyp = 3
/
ATOMIC_SPECIES
As 74.92 As.upf
K 39.10 K.upf
Re 186.21 Re.upf
CELL_PARAMETERS angstrom
4.355 0.025 0.177
3.127 3.031 0.177
1.465 0.598 7.635
ATOMIC_POSITIONS crystal
As 0.931 0.931 0.156
As 0.769 0.769 0.807
K 0.555 0.555 0.493
Re 0.244 0.244 0.044
```